PBE Dy5S5N, relaxed; formation energy from raw total energies = -1960 meV/atom; total magnetic moment = 0.00 μB per atom
1.0
5.4331 0.0000 0.0000
-2.7165 6.0687 -0.0693
0.0000 -2.3541 7.2244
Dy S N
5 5 1
Cartesian
2.7165 3.8789 1.0947
2.7165 2.5757 4.9122
2.7165 0.0000 0.0000
0.0000 1.1388 2.2429
0.0000 -0.1644 6.0604
2.7165 1.3265 2.3749
2.7165 0.0645 5.9911
0.0000 -1.1771 3.6122
0.0000 3.6500 1.1640
0.0000 2.3881 4.7802
0.0000 0.0000 0.0000



PBE Ba2CdSbO, relaxed; formation energy from raw total energies = -1255 meV/atom; total magnetic moment = 0.00 μB per atom
1.0
4.7918 0.0000 0.0000
0.0000 6.7810 -0.2186
0.0000 -3.2212 10.4133
Ba Cd Sb O
4 2 2 2
Cartesian
3.5939 3.4803 5.6508
3.5939 5.2731 0.2593
1.1980 0.0796 4.5438
1.1980 -1.7133 9.9353
1.1980 1.6535 7.6951
3.5939 1.9063 2.4996
1.1980 3.5571 3.0240
3.5939 0.0027 7.1707
1.1980 2.5162 9.7034
3.5939 1.0436 0.4913



PBE YNb3Os, relaxed; ΔE_f = 2.498 eV per atom; total magnetic moment = 0.00 μB per atom
1.0
-4.7434 0.5412 0.2133
-0.2391 -0.2160 -4.7680
-0.5304 -4.7432 0.2415
Y Nb Os
1 3 1
Cartesian
0.0000 0.0000 0.0000
-0.1195 -0.1080 -2.3840
-0.2652 -2.3716 0.1207
-2.3717 0.2706 0.1066
-2.7564 -2.2090 -2.1566